[1]
Entry from Alexandria: a relaxed structure of Cd2Ag2Pd3 (GGA-PBE).

Cell and atoms, written as POSCAR:
```
Cd2Ag2Pd3
1.0
4.9171 0.5611 -0.7458
-2.1517 3.5315 -0.0040
0.1641 0.0953 6.5082
Cd Ag Pd
2 2 3
Direct
0.8537 0.4268 0.2636
0.1463 0.5732 0.7364
0.2858 0.1428 0.4250
0.7142 0.8572 0.5750
0.0000 0.0000 0.0000
0.5638 0.2825 0.8532
0.4362 0.7175 0.1468
```

Summary:
The final energy is -24.56 eV per cell. The density of states at the Fermi level is 2.42 states/eV/f.u. The formation energy is -207 meV per atom.

***

[2]
Entry from Alexandria: a relaxed structure of ErAsS (GGA-PBE).

Cell and atoms, written as POSCAR:
```
ErAsS
1.0
-3.2122 -1.9085 -0.2763
3.1235 -4.6557 -4.1553
2.4234 -5.1832 7.6291
As S Er
4 4 4
Direct
0.7500 0.3933 0.5409
0.2500 0.1067 0.0409
0.7500 0.8933 0.9591
0.2500 0.6067 0.4591
0.2500 0.0834 0.6605
0.7500 0.4166 0.1605
0.2500 0.5834 0.8395
0.7500 0.9166 0.3395
0.2500 0.7087 0.1627
0.7500 0.2913 0.8373
0.2500 0.2087 0.3373
0.7500 0.7913 0.6627
```

Summary:
For the formation energy (no corrections), the calculation gives -1.45 eV/atom. The final energy is -70.79 eV per cell. The density of states at the Fermi level is 0.04 states/eV/f.u.

***

[3]
Entry from Alexandria: a relaxed structure of Th4Os2Pb (GGA-PBE).

Cell and atoms, written as POSCAR:
```
Th4Os2Pb
1.0
-0.7743 5.8542 -3.9382
-4.9262 -4.5644 -2.5771
-2.3479 2.0920 8.3479
Th Os Pb
8 4 2
Direct
0.9743 0.1984 0.3154
0.3793 0.4674 0.1877
0.8212 0.5976 0.5904
0.7475 0.1914 0.7806
0.4414 0.0295 0.3115
0.2168 0.1599 0.7193
0.4810 0.7569 0.9094
0.9092 0.6334 0.1853
0.4376 0.3766 0.5736
0.7747 0.8934 0.4236
0.6019 0.2203 0.0772
0.1141 0.5534 0.9262
0.3157 0.7254 0.5287
0.0354 0.9463 0.9712
```

Summary:
The final energy is -115.73 eV per cell. The density of states at the Fermi level is 5.12 states/eV/f.u. The formation energy is -288 meV per atom.

***

[4]
Entry from Alexandria: a relaxed structure of LiRe2SnAs (GGA-PBE).

Cell and atoms, written as POSCAR:
```
LiRe2SnAs
1.0
-3.9236 0.2528 2.4670
-2.2728 -0.0492 -3.6096
-0.1854 -4.6344 0.1799
Re As Sn Li
2 1 1 1
Direct
0.0000 0.0000 0.5000
0.5000 0.0000 0.0000
0.0000 0.0000 0.0000
0.5000 0.5000 0.5000
0.0000 0.5000 0.0000
```

Summary:
The final energy is -31.15 eV per cell. The density of states at the Fermi level is 3.36 states/eV/f.u. The formation energy is 862 meV per atom.

***

[5]
Entry from Alexandria: a relaxed structure of La8Co3Rh (GGA-PBE).

Cell and atoms, written as POSCAR:
```
La8Co3Rh
1.0
-3.4324 0.6937 4.3946
3.9904 -6.8204 4.1934
5.7637 6.7724 -0.1599
La Co Rh
8 3 1
Direct
0.4474 0.6498 0.8948
0.3459 0.0049 0.6917
0.8817 0.3112 0.7633
0.2244 0.3224 0.4487
0.7725 0.6635 0.5450
0.1146 0.6909 0.2292
0.5583 0.3438 0.1166
0.6579 0.0048 0.3157
0.3943 0.3032 0.7887
0.7090 0.3020 0.4180
0.6056 0.6910 0.2112
0.2868 0.6821 0.5736
```

Summary:
The final energy is -69.83 eV per cell. The density of states at the Fermi level is 9.96 states/eV/f.u. The formation energy is -145 meV per atom.

***

[6]
Entry from Alexandria: a relaxed structure of PuAuSe3 (GGA-PBE).

Cell and atoms, written as POSCAR:
```
PuAuSe3
1.0
-1.8689 -3.4633 1.5204
6.4987 -3.1612 0.7874
1.5132 4.8915 7.1491
Pu Au Se
2 2 6
Direct
0.2980 0.7500 0.5960
0.7020 0.2500 0.4040
0.9522 0.2500 0.9044
0.0478 0.7500 0.0956
0.8349 0.0003 0.6698
0.1651 0.5003 0.3302
0.5308 0.2500 0.0616
0.1651 0.9997 0.3302
0.8349 0.4997 0.6698
0.4692 0.7500 0.9384
```

Summary:
For the formation energy (no corrections), the calculation gives -0.60 eV/atom. The final energy is -62.16 eV per cell. The density of states at the Fermi level is 8.35 states/eV/f.u.

***

- Which value of final energy does entry 1 give?
  -24.56 eV per cell